# 1
Material: CsLiOs
Method: DFT, PBE
State: optimized geometry Values from VASP.

* distance to the lowest polymorph of the same formula: 1 meV per atom
* space-group type: C2/m
* calculated formation energy: 0.339 eV per atom
* total magnetic moment: 0.0 μB per cell

Cell and atoms, written as Quantum ESPRESSO input:
```
&SYSTEM
  ibrav = 0, nat = 12, ntyp = 3
/
ATOMIC_SPECIES
Cs 132.91 Cs.upf
Os 190.23 Os.upf
Li 6.94 Li.upf
CELL_PARAMETERS angstrom
12.354 0.000 0.003
0.000 4.277 0.000
-1.077 0.000 7.343
ATOMIC_POSITIONS crystal
Cs 0.795 0.000 0.904
Os 0.486 0.000 0.830
Os 0.514 0.500 0.670
Cs 0.205 0.500 0.596
Li 0.599 0.000 0.524
Li 0.401 0.000 0.476
Cs 0.205 0.000 0.096
Os 0.486 0.500 0.330
Os 0.514 0.000 0.170
Cs 0.795 0.500 0.404
Li 0.401 0.500 0.976
Li 0.599 0.500 0.024
```

# 2
Material: AcGeB
Method: DFT, PBE
State: optimized geometry Values from VASP.

* distance to the lowest polymorph of the same formula: 275 meV per atom
* space-group type: C2/m
* calculated formation energy: -0.014 eV per atom
* total magnetic moment: 0.0 μB per cell

Cell and atoms, written as Quantum ESPRESSO input:
```
&SYSTEM
  ibrav = 0, nat = 6, ntyp = 3
/
ATOMIC_SPECIES
Ge 72.64 Ge.upf
Ac 227.00 Ac.upf
B 10.81 B.upf
CELL_PARAMETERS angstrom
-1.490 4.268 4.396
-2.855 -5.750 0.093
6.755 2.514 -0.151
ATOMIC_POSITIONS crystal
Ge 0.402 0.804 0.618
Ac 0.096 0.192 0.872
Ge 0.598 0.196 0.382
B 0.365 0.731 0.870
Ac 0.904 0.808 0.128
B 0.635 0.269 0.130
```

# 3
Material: Tb5HoIr6
Method: DFT, PBE
State: optimized geometry Values from VASP.

* space-group type: P2/m
* calculated formation energy: -0.793 eV per atom
* total magnetic moment: 0.0 μB per cell

Cell and atoms, written as Quantum ESPRESSO input:
```
&SYSTEM
  ibrav = 0, nat = 12, ntyp = 3
/
ATOMIC_SPECIES
Tb 158.93 Tb.upf
Ir 192.22 Ir.upf
Ho 164.93 Ho.upf
CELL_PARAMETERS angstrom
4.507 -0.027 1.506
0.039 7.176 0.013
0.003 -0.014 7.523
ATOMIC_POSITIONS crystal
Tb 0.334 0.000 0.333
Ir 0.500 0.248 0.000
Ir 0.834 0.751 0.332
Ir 0.500 0.752 0.000
Ir 0.166 0.751 0.668
Tb 0.000 0.500 0.000
Tb 0.666 0.000 0.667
Tb 0.667 0.500 0.667
Tb 0.333 0.500 0.333
Ho 0.000 0.000 0.000
Ir 0.834 0.249 0.332
Ir 0.166 0.249 0.668
```

# 4
Material: Tl6SeI3Br2
Method: DFT, PBE
State: optimized geometry Values from VASP.

* ΔE_f (raw): -0.61 eV per atom
* space-group type: C2/m
* total magnetic moment: 0.0 μB per cell

Cell and atoms, written as Quantum ESPRESSO input:
```
&SYSTEM
  ibrav = 0, nat = 12, ntyp = 4
/
ATOMIC_SPECIES
Tl 204.38 Tl.upf
Se 78.96 Se.upf
I 126.90 I.upf
Br 79.90 Br.upf
CELL_PARAMETERS angstrom
8.290 0.011 0.004
-4.134 7.186 0.004
-1.383 -2.394 7.886
ATOMIC_POSITIONS crystal
Tl 0.763 0.763 0.226
Tl 0.609 0.925 0.775
Tl 0.237 0.237 0.774
Se 0.000 0.000 0.000
I 0.832 0.168 0.500
Br 0.334 0.666 0.000
Tl 0.925 0.609 0.775
Tl 0.075 0.391 0.225
Tl 0.391 0.075 0.225
I 0.168 0.832 0.500
Br 0.666 0.334 0.000
I 0.500 0.500 0.500
```

# 5
Material: Nb2In2NiS6
Method: DFT, PBE
State: optimized geometry Values from VASP.

* ΔE_f (raw): -0.58 eV per atom
* space-group type: C2/m
* total magnetic moment: 1.4 μB per cell

Cell and atoms, written as Quantum ESPRESSO input:
```
&SYSTEM
  ibrav = 0, nat = 11, ntyp = 4
/
ATOMIC_SPECIES
Ni 58.69 Ni.upf
Nb 92.91 Nb.upf
S 32.06 S.upf
In 114.82 In.upf
CELL_PARAMETERS angstrom
6.086 -0.061 0.069
-3.061 5.260 0.069
-1.057 -1.817 7.407
ATOMIC_POSITIONS crystal
Ni 0.000 0.000 0.500
Nb 0.647 0.353 0.500
S 0.615 0.948 0.316
In 0.182 0.818 0.000
Nb 0.353 0.647 0.500
S 0.750 0.750 0.707
S 0.052 0.385 0.684
S 0.250 0.250 0.293
S 0.948 0.615 0.316
In 0.818 0.182 0.000
S 0.385 0.052 0.684
```

# 6
Material: Na3CePr3Se8
Method: DFT, PBE
State: optimized geometry Values from VASP.

* ΔE_f (raw): -1.65 eV per atom
* space-group type: R-3m
* total magnetic moment: 0.0 μB per cell

Cell and atoms, written as Quantum ESPRESSO input:
```
&SYSTEM
  ibrav = 0, nat = 15, ntyp = 4
/
ATOMIC_SPECIES
Na 22.99 Na.upf
Se 78.96 Se.upf
Pr 140.91 Pr.upf
Ce 140.12 Ce.upf
CELL_PARAMETERS angstrom
8.617 0.000 0.000
-4.308 7.462 -0.030
0.000 -4.955 7.010
ATOMIC_POSITIONS crystal
Na 0.500 0.500 0.000
Na 0.000 0.000 0.000
Se 0.746 0.493 0.739
Pr 0.500 0.500 0.500
Se 0.763 0.008 0.272
Se 0.246 0.008 0.272
Se 0.237 0.992 0.728
Se 0.237 0.474 0.728
Pr 0.500 0.000 0.500
Se 0.763 0.526 0.272
Na 0.000 0.500 0.000
Ce 0.000 0.000 0.500
Se 0.254 0.507 0.261
Se 0.754 0.992 0.728
Pr 0.000 0.500 0.500
```

# 7
Material: PrEr2Pt9
Method: DFT, PBE
State: optimized geometry Values from VASP.

* space-group type: R-3m
* calculated formation energy: -0.958 eV per atom
* total magnetic moment: 0.0 μB per cell

Cell and atoms, written as Quantum ESPRESSO input:
```
&SYSTEM
  ibrav = 0, nat = 12, ntyp = 3
/
ATOMIC_SPECIES
Pt 195.08 Pt.upf
Pr 140.91 Pr.upf
Er 167.26 Er.upf
CELL_PARAMETERS angstrom
5.433 0.000 0.000
2.717 4.706 0.000
2.717 1.569 8.820
ATOMIC_POSITIONS crystal
Pt 0.667 0.667 0.999
Pt 0.411 0.919 0.258
Pt 0.589 0.081 0.742
Pt 0.919 0.411 0.258
Pr 0.000 0.000 0.000
Pt 0.333 0.333 0.001
Pt 0.081 0.589 0.742
Pt 0.500 0.500 0.500
Pt 0.589 0.589 0.742
Pt 0.411 0.411 0.258
Er 0.860 0.860 0.420
Er 0.140 0.140 0.580
```

# 8
Material: Cd2FeAs
Method: DFT, PBE
State: optimized geometry Values from VASP.

* space-group type: Immm
* calculated formation energy: 0.088 eV per atom
* total magnetic moment: 1.5 μB per cell

Cell and atoms, written as Quantum ESPRESSO input:
```
&SYSTEM
  ibrav = 0, nat = 4, ntyp = 3
/
ATOMIC_SPECIES
Cd 112.41 Cd.upf
Fe 55.84 Fe.upf
As 74.92 As.upf
CELL_PARAMETERS angstrom
7.298 0.004 0.006
6.738 2.803 0.006
1.006 0.201 3.699
ATOMIC_POSITIONS crystal
Cd 0.930 0.930 0.070
Cd 0.570 0.570 0.430
Fe 0.250 0.250 0.250
As 0.750 0.750 0.750
```

# 9
Material: ReBSCl2
Method: DFT, PBE
State: optimized geometry Values from VASP.

* distance to the lowest polymorph of the same formula: 0 meV per atom
* ΔE_f (raw): 1.02 eV per atom
* space-group type: P4/mmm
* total magnetic moment: 0.8 μB per cell

Cell and atoms, written as Quantum ESPRESSO input:
```
&SYSTEM
  ibrav = 0, nat = 5, ntyp = 4
/
ATOMIC_SPECIES
Cl 35.45 Cl.upf
B 10.81 B.upf
Re 186.21 Re.upf
S 32.06 S.upf
CELL_PARAMETERS angstrom
-4.673 -1.443 -0.645
0.330 -2.861 4.005
-1.400 3.397 2.542
ATOMIC_POSITIONS crystal
Cl 0.500 0.000 0.000
Cl 0.000 0.500 0.000
B 0.500 0.500 0.500
Re 0.000 0.000 0.000
S 0.000 0.000 0.500
```

Number 1: mass density 5.650 g cm⁻³. Number 2: mass density 7.413 g cm⁻³. Number 3: mass density 14.419 g cm⁻³. Number 4: mass density 6.517 g cm⁻³. Number 5: mass density 4.665 g cm⁻³. Number 6: mass density 4.667 g cm⁻³. Number 7: mass density 16.429 g cm⁻³. Number 8: mass density 7.816 g cm⁻³. Number 9: mass density 4.581 g cm⁻³.